Computed, not measured: a relaxed LaY5Cd4 crystal at the PBE level of DFT.

The calculation puts the electronic total energy at -43.65 eV for the cell shown. The calculation puts the magnetization at 0.000 μB per atom. The calculation puts the formation energy from the elements at -0.27 eV/atom. The value obtained for the density of states at the Fermi level is 1.28 states/eV per atom.

The structure belongs to space group P4/mmm (No. 123); the cell edges are 3.7322, 3.7322 and 20.1912 Å and the angles 90.00°, 90.00° and 90.00°. The distinct sites, in fractional coordinates, are La at (0.0000, 0.0000, 0.0000), Y at (0.5000, 0.5000, 0.1262), Y at (0.5000, 0.5000, 0.3131), Y at (0.5000, 0.5000, 0.5000), Cd at (0.0000, 0.0000, 0.2187) and Cd at (0.0000, 0.0000, 0.4058).